No. 1
VASP calculation (GGA-PBE) on a geometry-optimized GaPCl2O structure.

abc: 5.845 5.845 3.345
angles: 90.00 90.00 90.00
Each line ends with the local moment (μB).
Fractional coordinates of all 5 atoms:
P  0.000  0.000  0.500  0.01
O  0.000  0.000  0.000  0.00
Ga  0.500  0.500  0.500  0.00
Cl  0.000  0.500  0.000  -0.07
Cl  0.500  0.000  0.000  -0.07

Summary:
- ΔE_f (raw) (eV/atom) = -0.087
- SG = P4/mmm



No. 2
VASP calculation (GGA-PBE) on a geometry-optimized CsNaNdI5 structure.

abc: 9.030 9.030 12.009
angles: 102.05 102.05 109.91
Fractional coordinates of all 16 atoms:
Cs  0.340  0.660  0.250
Cs  0.660  0.340  0.750
Na  0.687  0.313  0.250
Na  0.313  0.687  0.750
Nd  0.000  0.000  0.500
Nd  0.000  0.000  0.000
I  0.068  0.932  0.250
I  0.932  0.068  0.750
I  0.903  0.296  0.086
I  0.097  0.704  0.914
I  0.704  0.097  0.414
I  0.296  0.903  0.586
I  0.746  0.636  0.438
I  0.254  0.364  0.562
I  0.364  0.254  0.062
I  0.636  0.746  0.938

Summary:
- ΔE_f (raw) (eV/atom) = -1.397
- SG = C2/c



No. 3
VASP calculation (GGA-PBE) on a geometry-optimized TbPmTlRu structure.

abc: 5.160 5.160 5.160
angles: 60.00 60.00 60.00
Fractional coordinates of all 4 atoms:
Ru  0.500  0.500  0.500
Tl  0.000  0.000  0.000
Tb  0.250  0.250  0.250
Pm  0.750  0.750  0.750

Summary:
- ΔH_f (0 K) (eV/atom) = -0.2034
- SG = F-43m



No. 4
VASP calculation (GGA-PBE) on a geometry-optimized Tl2SiBr6 structure.

abc: 7.403 10.497 7.424
angles: 90.00 90.00 90.16
Fractional coordinates of all 18 atoms:
Tl  0.008  0.248  0.540
Tl  0.492  0.252  0.040
Tl  0.508  0.748  0.960
Tl  0.992  0.752  0.460
Si  0.500  0.000  0.500
Si  0.000  0.500  0.000
Br  0.040  0.730  0.999
Br  0.204  0.483  0.256
Br  0.245  0.021  0.295
Br  0.255  0.479  0.795
Br  0.296  0.017  0.756
Br  0.460  0.770  0.499
Br  0.960  0.270  0.001
Br  0.796  0.517  0.744
Br  0.755  0.979  0.705
Br  0.745  0.521  0.205
Br  0.704  0.983  0.244
Br  0.540  0.230  0.501

Summary:
- ΔE_f (raw) (eV/atom) = -0.721
- SG = P2_1/c



No. 5
VASP calculation (GGA-PBE) on a geometry-optimized ReNiN2 structure.

abc: 3.697 3.697 3.697
angles: 60.00 60.00 60.00
Each line ends with the local moment (μB).
Fractional coordinates of all 4 atoms:
Re  0.500  0.500  0.500  0.32
N  0.250  0.250  0.250  0.14
N  0.750  0.750  0.750  0.14
Ni  0.000  0.000  0.000  0.45

Summary:
- ΔE_f (raw) (eV/atom) = 0.956
- SG = Fm-3m



No. 6
VASP calculation (GGA-PBE) on a geometry-optimized Tc2AsAu structure.

abc: 2.783 2.783 9.784
angles: 90.00 90.00 116.83
Fractional coordinates of all 4 atoms:
As  0.000  0.000  0.468
Au  0.500  0.500  0.768
Tc  0.000  0.000  0.025
Tc  0.500  0.500  0.240

Summary:
- ΔH_f (0 K) (eV/atom) = 0.3349
- SG = Cmm2



No. 7
VASP calculation (GGA-PBE) on a geometry-optimized Pm2PrNd3S6 structure.

abc: 7.045 7.045 7.033
angles: 99.59 99.59 120.15
Fractional coordinates of all 12 atoms:
Pm  0.333  0.667  0.000
Pm  0.667  0.333  0.000
Pr  0.000  0.000  0.000
Nd  0.165  0.835  0.500
Nd  0.835  0.165  0.500
Nd  0.500  0.500  0.500
S  0.917  0.580  0.751
S  0.746  0.746  0.248
S  0.083  0.420  0.249
S  0.580  0.917  0.751
S  0.254  0.254  0.752
S  0.420  0.083  0.249

Summary:
- ΔE_f (raw) (eV/atom) = -2.031
- SG = C2/m



No. 8
VASP calculation (GGA-PBE) on a geometry-optimized Sc4Zn7Ag structure.

abc: 5.633 6.100 10.383
angles: 74.82 48.54 55.75
Fractional coordinates of all 12 atoms:
Sc  0.632  0.509  0.207
Sc  0.368  0.491  0.793
Sc  0.787  0.844  0.628
Sc  0.213  0.156  0.372
Zn  0.796  0.490  0.872
Zn  0.204  0.510  0.128
Zn  0.055  0.046  0.712
Zn  0.945  0.954  0.288
Zn  0.604  0.672  0.459
Zn  0.500  0.000  0.000
Zn  0.396  0.328  0.541
Ag  0.000  0.000  0.000

Summary:
- ΔH_f (0 K) (eV/atom) = -0.2198
- SG = P-1



No. 9
VASP calculation (GGA-PBE) on a geometry-optimized LiAsPPb2 structure.

abc: 5.239 4.397 5.239
angles: 90.00 90.00 90.00
Fractional coordinates of all 5 atoms:
Pb  0.000  0.000  0.500
Pb  0.500  0.000  0.000
P  0.500  0.500  0.500
As  0.000  0.500  0.000
Li  0.000  0.000  0.000

Summary:
- ΔH_f (0 K) (eV/atom) = 0.4305
- SG = P4/mmm



No. 10
VASP calculation (GGA-PBE) on a geometry-optimized HoTl3 structure.

abc: 3.717 5.481 6.443
angles: 115.17 106.77 90.00
Fractional coordinates of all 4 atoms:
Tl  0.255  0.607  0.509
Tl  0.500  0.475  0.000
Tl  0.745  0.098  0.491
Ho  0.000  0.987  0.000

Summary:
- ΔH_f (0 K) (eV/atom) = -0.1392
- SG = Imm2



No. 11
VASP calculation (GGA-PBE) on a geometry-optimized Nb3Rh2Au structure.

abc: 2.863 2.863 12.145
angles: 90.00 90.00 90.00
Fractional coordinates of all 6 atoms:
Nb  0.000  0.000  0.000
Nb  0.000  0.000  0.680
Nb  0.000  0.000  0.320
Rh  0.500  0.500  0.837
Rh  0.500  0.500  0.163
Au  0.500  0.500  0.500

Summary:
- ΔH_f (0 K) (eV/atom) = -0.3206
- SG = P4/mmm



No. 12
VASP calculation (GGA-PBE) on a geometry-optimized BaCa2CdRh structure.

abc: 5.519 5.519 5.993
angles: 90.00 90.00 90.00
Fractional coordinates of all 5 atoms:
Ca  0.000  0.500  0.000
Ca  0.500  0.000  0.000
Rh  0.000  0.000  0.000
Ba  0.000  0.000  0.500
Cd  0.500  0.500  0.500

Summary:
- ΔH_f (0 K) (eV/atom) = -0.2063
- SG = P4/mmm